KSb2TeN | GGA-PBEsol | relaxed

crystal system	tetragonal
uncorrected formation energy	1.77	eV/f.u.

Cell and atoms, written as POSCAR:
```
KSb2TeN
1.0
4.810 0.000 0.000
0.000 4.810 0.000
0.000 0.000 5.082
K Sb Te N
1 2 1 1
Direct
0.000 0.000 0.000
0.000 0.500 0.500
0.500 0.000 0.500
0.500 0.500 0.000
0.500 0.500 0.500
```

---

Hg2OsSe | GGA-PBEsol | relaxed

crystal system	trigonal
uncorrected formation energy	0.99	eV/f.u.

Cell and atoms, written as POSCAR:
```
Hg2OsSe
1.0
1.654 0.955 8.719
-1.654 0.955 8.719
0.000 -1.910 8.719
Hg Os Se
2 1 1
Direct
0.000 0.000 0.000
0.241 0.241 0.241
0.494 0.494 0.494
0.773 0.773 0.773
```

---

TlOsCl | GGA-PBEsol | relaxed

crystal system	cubic
uncorrected formation energy	3.63	eV/f.u.

Cell and atoms, written as POSCAR:
```
TlOsCl
1.0
0.000 3.165 3.165
3.165 0.000 3.165
3.165 3.165 0.000
Tl Os Cl
1 1 1
Direct
0.000 0.000 0.000
0.250 0.250 0.250
0.500 0.500 0.500
```

---

> Which value of uncorrected formation energy does entry 3 give?

3.63 eV/f.u.